VASP calculation (GGA-PBE) on crystalline Sc6Tl2SeO at its relaxed geometry.

Symmetry: P4/mmm
Energy relative to the elements, uncorrected: -0.9152 eV per atom

```
Sc6Tl2SeO
1.0
-4.052 0.437 2.578
1.172 -3.947 2.511
4.486 5.252 6.160
Sc O Tl Se
6 1 2 1
direct
0.500 0.500 0.725
0.500 0.000 0.500
0.000 0.500 0.500
0.500 0.000 0.000
0.000 0.500 0.000
0.500 0.500 0.275
0.500 0.500 0.500
0.000 0.000 0.743
0.000 0.000 0.257
0.500 0.500 0.000
```

VASP calculation (GGA-PBE) on crystalline SiNiCl4 at its relaxed geometry.

Symmetry: F-43m
Energy relative to the elements, uncorrected: 1.1138 eV per atom

```
SiNiCl4
1.0
0.000 4.079 4.079
4.079 0.000 4.079
4.079 4.079 0.000
Cl Si Ni
4 1 1
direct
0.376 0.376 0.873
0.873 0.376 0.376
0.376 0.873 0.376
0.376 0.376 0.376
0.000 0.000 0.000
0.750 0.750 0.750
```

VASP calculation (GGA-PBE) on crystalline SrLiLa2Ni at its relaxed geometry.

Energy of formation from the pure elements: 0.13 eV/f.u.
Symmetry: P4/mmm
Relative energy among the computed polymorphs: 23 meV per atom

```
SrLiLa2Ni
1.0
5.462 0.000 0.000
0.000 5.462 0.000
0.000 0.000 5.548
La Ni Sr Li
2 1 1 1
direct
0.500 0.000 0.000
0.000 0.500 0.000
0.000 0.000 0.000
0.500 0.500 0.500
0.000 0.000 0.500
```

VASP calculation (GGA-PBE) on crystalline ZnHgPt4 at its relaxed geometry.

Energy of formation from the pure elements: 0.39 eV/f.u.
Symmetry: F-43m

```
ZnHgPt4
1.0
0.000 3.767 3.767
3.767 0.000 3.767
3.767 3.767 0.000
Pt Hg Zn
4 1 1
direct
0.375 0.375 0.875
0.375 0.375 0.375
0.375 0.875 0.375
0.875 0.375 0.375
0.000 0.000 0.000
0.750 0.750 0.750
```

VASP calculation (GGA-PBE) on crystalline CaCrIn2H at its relaxed geometry.

Symmetry: P4/mmm
VASP energy: -3.9509 eV per atom

```
CaCrIn2H
1.0
-4.499 1.569 -0.074
-0.757 -2.341 -3.593
-1.334 -3.700 2.691
In H Cr Ca
2 1 1 1
direct
0.500 0.000 0.000
0.000 0.000 0.500
0.000 0.000 0.000
0.500 0.500 0.500
0.000 0.500 0.000
```

VASP calculation (GGA-PBE) on crystalline PmBePPt at its relaxed geometry.

Energy of formation from the pure elements: -4.34 eV/f.u.
Symmetry: P4/nmm

```
PmBePPt
1.0
-2.630 -2.088 2.308
3.004 -2.493 1.169
1.752 5.292 6.783
Pt Pm Be P
2 2 2 2
direct
0.000 0.000 0.500
0.500 0.500 0.500
0.500 0.000 0.187
0.000 0.500 0.813
0.500 0.000 0.621
0.000 0.500 0.379
0.000 0.500 0.140
0.500 0.000 0.860
```

VASP calculation (GGA-PBE) on crystalline BiPdAu at its relaxed geometry.

Energy of formation from the pure elements: -0.16 eV/f.u.
Symmetry: P3m1
Relative energy among the computed polymorphs: 130 meV per atom

```
BiPdAu
1.0
-2.548 -1.120 2.257
-2.167 -2.021 -3.449
3.119 -2.295 2.383
Au Pd Bi
1 1 1
direct
0.045 0.000 0.000
0.303 0.333 0.667
0.652 0.667 0.333
```

VASP calculation (GGA-PBE) on crystalline TbPmGe2Rh5 at its relaxed geometry.

Energy of formation from the pure elements: -6.33 eV/f.u.
Symmetry: P4/mmm

```
TbPmGe2Rh5
1.0
-0.372 -3.391 -2.462
3.588 1.019 -1.946
4.633 -4.862 5.995
Rh Ge Pm Tb
5 2 1 1
direct
0.500 0.000 0.732
0.500 0.500 0.500
0.000 0.500 0.268
0.000 0.500 0.732
0.500 0.000 0.268
0.500 0.500 0.860
0.500 0.500 0.140
0.000 0.000 0.500
0.000 0.000 0.000
```

Repeat the first record exactly.
VASP calculation (GGA-PBE) on crystalline Sc6Tl2SeO at its relaxed geometry.

Symmetry: P4/mmm
Energy relative to the elements, uncorrected: -0.9152 eV per atom

```
Sc6Tl2SeO
1.0
-4.052 0.437 2.578
1.172 -3.947 2.511
4.486 5.252 6.160
Sc O Tl Se
6 1 2 1
direct
0.500 0.500 0.725
0.500 0.000 0.500
0.000 0.500 0.500
0.500 0.000 0.000
0.000 0.500 0.000
0.500 0.500 0.275
0.500 0.500 0.500
0.000 0.000 0.743
0.000 0.000 0.257
0.500 0.500 0.000
```

Which formula does entry 8 have? TbPmGe2Rh5